The following is a GGA-PBE calculation of a geometry-optimized Sc2Hg2Pb structure, from Alexandria. Values from VASP.

Properties
* polymorph energy (0 for the lowest one): 0.239 eV/f.u.
* formation enthalpy at 0 K: -0.23 eV/atom
* electronic total energy: -3.63 eV/atom

Geometry as Quantum ESPRESSO input:
```
&SYSTEM
  ibrav = 0, nat = 10, ntyp = 3
/
ATOMIC_SPECIES
Pb 207.20 Pb.upf
Hg 200.59 Hg.upf
Sc 44.96 Sc.upf
CELL_PARAMETERS angstrom
8.0567 0.0000 0.0000
0.0000 8.0567 0.0000
0.0000 0.0000 3.7489
ATOMIC_POSITIONS crystal
Pb 0.0000 0.0000 0.0000
Hg 0.3581 0.1419 0.5000
Hg 0.6419 0.8581 0.5000
Sc 0.6565 0.1565 0.0000
Sc 0.3435 0.8435 0.0000
Sc 0.8435 0.6565 0.0000
Hg 0.1419 0.6419 0.5000
Sc 0.1565 0.3435 0.0000
Hg 0.8581 0.3581 0.5000
Pb 0.5000 0.5000 0.0000
```